An optimized crystal structure of PmTmHg2. Source: Alexandria, functional GGA-PBE.

magnetization = 0.4 μB per formula unit
symmetry = No. 123
crystal system = tetragonal
formation energy from the elements = -479 meV/atom
energy above the lowest structure with this stoichiometry = 0 meV per atom

Cell and atoms, written as extended XYZ:
```
4
Lattice="-3.4616 0.5325 -1.1835 -0.1383 -3.5035 -1.1717 -2.6782 -2.1852 6.8502" Properties=species:S:1:pos:R:3 pbc="T T T"
Tm -1.8000 -1.4855 -1.1776
Hg -2.0606 -1.6813 5.2706
Hg -0.6176 -0.5039 1.5796
Pm -3.1391 -2.5781 2.2475
```